Below is a relaxed structure of AlTcSe, with properties calculated at the GGA-PBE level.

Cell lengths 5.748, 5.748, 5.748 Å; angles 149.04, 149.04, 44.35 degrees
Fractional coordinates of all 3 atoms:
Al 0.000 0.000 0.000
Tc 0.351 0.351 0.000
Se 0.719 0.719 0.000

Output
* theoretical density: 6.8 g/cm3
* volume: 50 Å³/cell
* M_tot: 0.0 Bohr magnetons per cell
* E_form (uncorrected): -114.0 meV per atom